1.
This record from Alexandria describes a relaxed structure of CaCePrEr. The functional is GGA-PBE.

Results
Volume = 555 Å³/cell
Magnetization = 2.1 μB/f.u.
Symmetry = F-43m
Formation energy from the elements = 0.24 eV/atom
D(E_F) = 42.11 states/eV/cell

Cell: 8.2185 8.2185 8.2185 Å, 90.00 90.00 90.00°
Sites, in units of the cell vectors:
Ca (0.0000, 0.0000, 0.0000)
Ca (0.0000, 0.5000, 0.5000)
Ca (0.5000, 0.0000, 0.5000)
Ca (0.5000, 0.5000, 0.0000)
Ce (0.0000, 0.0000, 0.5000)
Ce (0.0000, 0.5000, 0.0000)
Ce (0.5000, 0.0000, 0.0000)
Ce (0.5000, 0.5000, 0.5000)
Pr (0.2500, 0.2500, 0.7500)
Pr (0.2500, 0.7500, 0.2500)
Pr (0.7500, 0.2500, 0.2500)
Pr (0.7500, 0.7500, 0.7500)
Er (0.2500, 0.2500, 0.2500)
Er (0.2500, 0.7500, 0.7500)
Er (0.7500, 0.2500, 0.7500)
Er (0.7500, 0.7500, 0.2500)


2.
This record from Alexandria describes a relaxed structure of CaCeEr4S8. The functional is GGA-PBE.

Results
Volume = 375 Å³/cell
Magnetization = 1.4 μB/f.u.
Formation energy from raw total energies = -1969 meV per atom
Symmetry = R3m
D(E_F) = 10.13 states/eV/cell

Cell: 8.1404 8.1404 8.1404 Å, 59.22 59.22 59.22°
Sites, in units of the cell vectors:
Ca (0.0000, 0.0000, 0.0000)
Ce (0.3735, 0.3735, 0.3735)
Er (0.3726, 0.3726, 0.8794)
Er (0.3726, 0.8794, 0.3726)
Er (0.7489, 0.7489, 0.7489)
Er (0.8794, 0.3726, 0.3726)
S (0.1288, 0.1288, 0.5934)
S (0.1288, 0.5934, 0.1288)
S (0.1353, 0.1353, 0.1353)
S (0.1434, 0.6243, 0.6243)
S (0.5934, 0.1288, 0.1288)
S (0.6166, 0.6166, 0.6166)
S (0.6243, 0.1434, 0.6243)
S (0.6243, 0.6243, 0.1434)


3.
This record from Alexandria describes a relaxed structure of Ca3Ce2ErSb6. The functional is GGA-PBE.

Results
Volume = 383 Å³/cell
Magnetization = 0.0 μB/f.u.
Formation energy from raw total energies = -957 meV per atom
Symmetry = C2/m
D(E_F) = 9.74 states/eV/cell

Cell: 7.8007 7.8007 7.7126 Å, 99.70 99.70 120.02°
Sites, in units of the cell vectors:
Ca (0.0000, 0.0000, 0.0000)
Ca (0.3325, 0.6675, 0.0000)
Ca (0.6675, 0.3325, 0.0000)
Ce (0.1663, 0.8337, 0.5000)
Ce (0.8337, 0.1663, 0.5000)
Er (0.5000, 0.5000, 0.5000)
Sb (0.0898, 0.4213, 0.2633)
Sb (0.2481, 0.2481, 0.7382)
Sb (0.4213, 0.0898, 0.2633)
Sb (0.5787, 0.9102, 0.7367)
Sb (0.7519, 0.7519, 0.2618)
Sb (0.9102, 0.5787, 0.7367)


4.
This record from Alexandria describes a relaxed structure of CaCe2ErSb4. The functional is GGA-PBE.

Results
Volume = 252 Å³/cell
Magnetization = 1.0 μB/f.u.
Formation energy from raw total energies = -1026 meV per atom
Symmetry = P2/m
D(E_F) = 8.84 states/eV/cell

Cell: 7.6572 4.4850 7.7917 Å, 90.00 109.65 90.00°
Sites, in units of the cell vectors:
Ca (0.0000, 0.0000, 0.0000)
Ce (0.5000, 0.0000, 0.5000)
Ce (0.5000, 0.5000, 0.0000)
Er (0.0000, 0.5000, 0.5000)
Sb (0.2467, 0.0000, 0.7435)
Sb (0.2526, 0.5000, 0.2569)
Sb (0.7474, 0.5000, 0.7431)
Sb (0.7533, 0.0000, 0.2565)


5.
This record from Alexandria describes a relaxed structure of Ca2CeErSe4. The functional is GGA-PBE.

Results
Volume = 205 Å³/cell
Magnetization = 1.4 μB/f.u.
Formation energy from raw total energies = -1849 meV per atom
Symmetry = P2/m
D(E_F) = 8.02 states/eV/cell

Cell: 7.1749 4.1346 7.2959 Å, 90.00 109.04 90.00°
Sites, in units of the cell vectors:
Ca (0.0000, 0.0000, 0.0000)
Ca (0.5000, 0.5000, 0.0000)
Ce (0.0000, 0.5000, 0.5000)
Er (0.5000, 0.0000, 0.5000)
Se (0.2589, 0.0000, 0.7525)
Se (0.2590, 0.5000, 0.2540)
Se (0.7411, 0.0000, 0.2475)
Se (0.7410, 0.5000, 0.7460)


6.
This record from Alexandria describes a relaxed structure of Ca3Ce3ErSe8. The functional is GGA-PBE.

Results
Volume = 421 Å³/cell
Magnetization = 4.0 μB/f.u.
Formation energy from raw total energies = -1878 meV per atom
Symmetry = R-3m
D(E_F) = 22.76 states/eV/cell

Cell: 8.4468 8.4468 8.4468 Å, 59.52 59.52 59.52°
Sites, in units of the cell vectors:
Ca (0.0000, 0.5000, 0.5000)
Ca (0.5000, 0.0000, 0.5000)
Ca (0.5000, 0.5000, 0.0000)
Ce (0.0000, 0.0000, 0.5000)
Ce (0.0000, 0.5000, 0.0000)
Ce (0.5000, 0.0000, 0.0000)
Er (0.5000, 0.5000, 0.5000)
Se (0.2522, 0.2522, 0.2522)
Se (0.2578, 0.2578, 0.7410)
Se (0.2578, 0.7410, 0.2578)
Se (0.2590, 0.7422, 0.7422)
Se (0.7410, 0.2578, 0.2578)
Se (0.7422, 0.2590, 0.7422)
Se (0.7422, 0.7422, 0.2590)
Se (0.7478, 0.7478, 0.7478)


7.
This record from Alexandria describes a relaxed structure of CaCeEr2Se4. The functional is GGA-PBE.

Results
Volume = 198 Å³/cell
Magnetization = 1.1 μB/f.u.
Formation energy from raw total energies = -1798 meV per atom
Symmetry = P2/m
D(E_F) = 8.22 states/eV/cell

Cell: 7.1230 4.0938 7.1699 Å, 90.00 109.15 90.00°
Sites, in units of the cell vectors:
Ca (0.0000, 0.0000, 0.0000)
Ce (0.0000, 0.5000, 0.5000)
Er (0.5000, 0.0000, 0.5000)
Er (0.5000, 0.5000, 0.0000)
Se (0.2598, 0.5000, 0.2498)
Se (0.2621, 0.0000, 0.7584)
Se (0.7379, 0.0000, 0.2416)
Se (0.7402, 0.5000, 0.7502)


8.
This record from Alexandria describes a relaxed structure of Ca3Ce2ErSe6. The functional is GGA-PBE.

Results
Volume = 311 Å³/cell
Magnetization = 2.8 μB/f.u.
Formation energy from raw total energies = -1852 meV per atom
Symmetry = C2/m
D(E_F) = 14.93 states/eV/cell

Cell: 7.2001 7.2001 7.3243 Å, 99.44 99.44 119.96°
Sites, in units of the cell vectors:
Ca (0.0000, 0.0000, 0.0000)
Ca (0.3318, 0.6682, 0.0000)
Ca (0.6682, 0.3318, 0.0000)
Ce (0.1662, 0.8338, 0.5000)
Ce (0.8338, 0.1662, 0.5000)
Er (0.5000, 0.5000, 0.5000)
Se (0.0920, 0.4164, 0.2487)
Se (0.2601, 0.2601, 0.7518)
Se (0.4164, 0.0920, 0.2487)
Se (0.5836, 0.9080, 0.7513)
Se (0.7399, 0.7399, 0.2482)
Se (0.9080, 0.5836, 0.7513)


9.
This record from Alexandria describes a relaxed structure of Ca3Ce2ErTe6. The functional is GGA-PBE.

Results
Volume = 380 Å³/cell
Magnetization = 2.9 μB/f.u.
Formation energy from raw total energies = -1446 meV per atom
Symmetry = C2/m
D(E_F) = 17.11 states/eV/cell

Cell: 10.0605 10.0605 9.0397 Å, 104.28 104.28 25.45°
Sites, in units of the cell vectors:
Ca (0.0000, 0.0000, 0.0000)
Ca (0.3317, 0.3317, 0.6649)
Ca (0.6683, 0.6683, 0.3351)
Ce (0.3314, 0.3314, 0.1624)
Ce (0.6686, 0.6686, 0.8376)
Er (0.0000, 0.0000, 0.5000)
Te (0.1633, 0.1633, 0.5783)
Te (0.1638, 0.1638, 0.0888)
Te (0.4988, 0.4988, 0.7412)
Te (0.5012, 0.5012, 0.2588)
Te (0.8362, 0.8362, 0.9112)
Te (0.8367, 0.8367, 0.4217)


10.
This record from Alexandria describes a relaxed structure of Ca2CeErTe4. The functional is GGA-PBE.

Results
Volume = 251 Å³/cell
Magnetization = 1.5 μB/f.u.
Formation energy from raw total energies = -1436 meV per atom
Symmetry = P2/m
D(E_F) = 9.29 states/eV/cell

Cell: 7.6681 4.4213 7.8236 Å, 90.00 109.01 90.00°
Sites, in units of the cell vectors:
Ca (0.0000, 0.0000, 0.0000)
Ca (0.5000, 0.5000, 0.0000)
Ce (0.0000, 0.5000, 0.5000)
Er (0.5000, 0.0000, 0.5000)
Te (0.2584, 0.0000, 0.7519)
Te (0.2589, 0.5000, 0.2541)
Te (0.7411, 0.5000, 0.7459)
Te (0.7416, 0.0000, 0.2481)


11.
This record from Alexandria describes a relaxed structure of CaCe2ErTe4. The functional is GGA-PBE.

Results
Volume = 249 Å³/cell
Magnetization = 0.1 μB/f.u.
Formation energy from raw total energies = -1372 meV per atom
Symmetry = P2/m
D(E_F) = 16.64 states/eV/cell

Cell: 7.6818 4.4076 7.7866 Å, 90.00 108.93 90.00°
Sites, in units of the cell vectors:
Ca (0.0000, 0.0000, 0.0000)
Ce (0.0000, 0.5000, 0.5000)
Ce (0.5000, 0.0000, 0.5000)
Er (0.5000, 0.5000, 0.0000)
Te (0.2500, 0.5000, 0.2395)
Te (0.2574, 0.0000, 0.7626)
Te (0.7426, 0.0000, 0.2374)
Te (0.7500, 0.5000, 0.7605)


12.
This record from Alexandria describes a relaxed structure of Ca3Ce3ErTe8. The functional is GGA-PBE.

Results
Volume = 515 Å³/cell
Magnetization = 4.1 μB/f.u.
Formation energy from raw total energies = -1461 meV per atom
Symmetry = R-3m
D(E_F) = 25.59 states/eV/cell

Cell: 9.0446 9.0446 9.0446 Å, 59.29 59.29 59.29°
Sites, in units of the cell vectors:
Ca (0.0000, 0.5000, 0.5000)
Ca (0.5000, 0.0000, 0.5000)
Ca (0.5000, 0.5000, 0.0000)
Ce (0.0000, 0.0000, 0.5000)
Ce (0.0000, 0.5000, 0.0000)
Ce (0.5000, 0.0000, 0.0000)
Er (0.5000, 0.5000, 0.5000)
Te (0.2519, 0.2519, 0.2519)
Te (0.2554, 0.2554, 0.7427)
Te (0.2554, 0.7427, 0.2554)
Te (0.2573, 0.7446, 0.7446)
Te (0.7427, 0.2554, 0.2554)
Te (0.7446, 0.2573, 0.7446)
Te (0.7446, 0.7446, 0.2573)
Te (0.7481, 0.7481, 0.7481)